(1)
# PrGeHRh

A geometry-optimized PrGeHRh structure (PBE-GGA, Alexandria).

electronic total energy = -0.430 Ry per atom

Lattice parameters (Å, degrees): 4.1457 4.1457 7.7739 90.00 90.00 90.00
Space group P4/nmm (No. 129, origin choice 2)
One atom of each set of equivalent atoms:
Pr 0.2500 0.2500 0.1629 x2
Ge 0.2500 0.2500 0.6768 x2
H 0.2500 0.7500 0.0000 x2
Rh 0.2500 0.7500 0.5000 x2

---

(2)
# PrGeHRu

A geometry-optimized PrGeHRu structure (PBE-GGA, Alexandria).

electronic total energy = -0.452 Ry per atom

Lattice parameters (Å, degrees): 4.2230 4.2230 7.5654 90.00 90.00 90.00
Space group P4/nmm (No. 129, origin choice 2)
One atom of each set of equivalent atoms:
Pr 0.2500 0.2500 0.1651 x2
Ge 0.2500 0.2500 0.6690 x2
H 0.2500 0.7500 0.0000 x2
Ru 0.2500 0.7500 0.5000 x2

---

(3)
# PrGeH2Ru

A geometry-optimized PrGeH2Ru structure (PBE-GGA, Alexandria).

electronic total energy = -0.414 Ry per atom

Lattice parameters (Å, degrees): 4.0254 10.8713 6.0343 90.00 90.00 90.00
Space group Cmcm (No. 63)
One atom of each set of equivalent atoms:
Pr 0.0000 0.2061 0.2500 x4
Ge 0.0000 0.0723 0.7500 x4
H 0.0000 0.3432 0.5571 x8
Ru 0.0000 0.5000 0.0000 x4

---

Number 1: calculated density 7.891 g cm⁻³. Number 2: calculated density 7.769 g cm⁻³. Number 3: calculated density 7.964 g cm⁻³.